Entry 1:
Ba3PmIn2O6 PBE optimized geometry; final energy = -72.58 eV per formula unit
1.0
-1.4086 0.9680 6.0605
5.3092 -3.0064 -1.5571
3.5084 6.2940 -0.1899
In Ba O Pm
2 3 6 1
Direct
0.3333 0.6667 0.1453 In
0.6667 0.3333 0.8547 In
0.0000 0.0000 0.0000 Ba
0.3333 0.6667 0.6215 Ba
0.6667 0.3333 0.3785 Ba
0.3401 0.1701 0.6916 O
0.1701 0.3401 0.3084 O
0.1701 0.8299 0.3084 O
0.8299 0.6599 0.6916 O
0.8299 0.1701 0.6916 O
0.6599 0.8299 0.3084 O
0.0000 0.0000 0.5000 Pm

Entry 2:
Ba2PmInO5 PBE optimized geometry; final energy = -58.56 eV per formula unit
1.0
3.6782 0.0000 0.0000
-1.8391 7.3844 0.0000
0.0000 0.0000 11.7581
O Ba Pm In
10 4 2 2
Direct
0.6262 0.2523 0.4987 O
0.4921 0.9841 0.7859 O
0.0520 0.1040 0.0433 O
0.6807 0.3615 0.8912 O
0.3738 0.7477 0.9987 O
0.3193 0.6385 0.3912 O
0.2794 0.5588 0.6455 O
0.9480 0.8960 0.5433 O
0.7206 0.4412 0.1455 O
0.5079 0.0159 0.2859 O
0.1037 0.2074 0.6921 Ba
0.1406 0.2812 0.2943 Ba
0.8594 0.7188 0.7943 Ba
0.8963 0.7926 0.1921 Ba
0.2174 0.4348 0.0136 Pm
0.7826 0.5652 0.5136 Pm
0.5223 0.0447 0.9593 In
0.4777 0.9553 0.4593 In

Entry 3:
BaPrInO4 PBE optimized geometry; final energy = -46.00 eV per formula unit
1.0
4.1820 0.0000 0.0000
0.0000 4.1820 0.0000
-2.0910 -2.0910 6.5185
Ba O Pr In
1 4 1 1
Direct
0.6482 0.6482 0.2965 Ba
0.8342 0.8342 0.6684 O
0.4839 0.9839 0.9677 O
0.1820 0.1820 0.3640 O
0.9839 0.4839 0.9677 O
0.3629 0.3629 0.7258 Pr
0.0049 0.0049 0.0098 In

Entry 4:
Ba2PrInO5 PBE optimized geometry; final energy = -58.30 eV per formula unit
1.0
-0.0011 -0.9200 3.5922
2.3894 -6.3750 -3.5460
11.1239 3.6478 0.9376
O Ba In Pr
10 4 2 2
Direct
0.6251 0.2501 0.4987 O
0.0502 0.1004 0.0426 O
0.2797 0.5593 0.6484 O
0.7203 0.4407 0.1484 O
0.4918 0.9836 0.7853 O
0.5082 0.0164 0.2853 O
0.3215 0.6430 0.3888 O
0.9498 0.8996 0.5426 O
0.6785 0.3570 0.8888 O
0.3749 0.7499 0.9987 O
0.8961 0.7923 0.1934 Ba
0.1039 0.2077 0.6934 Ba
0.1391 0.2781 0.2944 Ba
0.8609 0.7219 0.7944 Ba
0.4785 0.9569 0.4594 In
0.5215 0.0431 0.9594 In
0.7828 0.5656 0.5129 Pr
0.2172 0.4344 0.0129 Pr